Computed, not measured: a relaxed structure of Dy2TmSn9 at the GGA-PBE level of DFT.

Geometry as extended XYZ:
```
12
Lattice="4.7865 0.0000 0.0000 0.0000 4.7865 0.0000 0.0000 0.0000 13.6571" Properties=species:S:1:pos:R:3 pbc="T T T"
Sn 0.0000 2.3933 11.3998
Sn 2.3933 0.0000 2.2574
Sn 2.3933 2.3933 4.5427
Dy 0.0000 0.0000 9.1039
Sn 2.3933 2.3933 9.1144
Tm 0.0000 0.0000 0.0000
Sn 2.3933 0.0000 6.8286
Sn 2.3933 0.0000 11.3998
Sn 0.0000 2.3933 2.2574
Sn 2.3933 2.3933 0.0000
Sn 0.0000 2.3933 6.8286
Dy 0.0000 0.0000 4.5533
```

## Properties
Total magnetic moment, μB/f.u.: 0.0
Final energy, eV per atom: -4.5456
DOS at the Fermi energy, states/eV/cell: 5.0